DFT (PBE+U) results for Li3MnSiO5 after structural relaxation.

Structure (POSCAR):
```
Li3MnSiO5
1.0
-0.345 -1.701 4.696
5.476 -0.059 0.381
-0.214 14.862 5.366
Li Mn Si O
12 4 4 20
Direct
0.994 0.149 0.591
0.994 0.649 0.909
0.500 0.832 0.992
0.500 0.332 0.508
0.508 0.808 0.801
0.508 0.308 0.699
0.494 0.851 0.409
0.494 0.351 0.091
0.000 0.168 0.008
0.000 0.668 0.492
0.008 0.692 0.301
0.008 0.192 0.199
0.009 0.649 0.695
0.009 0.149 0.805
0.509 0.851 0.195
0.509 0.351 0.305
0.005 0.674 0.097
0.005 0.174 0.403
0.505 0.826 0.597
0.505 0.326 0.903
0.102 0.818 0.792
0.102 0.318 0.708
0.104 0.892 0.397
0.104 0.392 0.103
0.102 0.817 0.012
0.102 0.317 0.488
0.105 0.831 0.183
0.105 0.331 0.317
0.167 0.820 0.600
0.167 0.320 0.900
0.602 0.182 0.208
0.602 0.682 0.292
0.604 0.108 0.603
0.604 0.608 0.897
0.602 0.683 0.512
0.602 0.183 0.988
0.605 0.669 0.683
0.605 0.169 0.817
0.667 0.680 0.100
0.667 0.180 0.400
```

Properties
The value obtained for the total magnetization is 16.00 Bohr magnetons per cell. For the electronic total energy, the calculation gives -260.43 eV/cell.